Record 1
{
  "formula": "Zr2ScIn",
  "functional": "GGA-PBE",
  "state": "optimized geometry",
  "cell": [[-0.8494, 1.3031, 2.8305], [-2.7099, -1.7571, -0.0043], [4.1937, -6.4779, 4.2407]],
  "species": ["In", "Sc", "Zr", "Zr"],
  "fractional_positions": [[0.0000, 0.0000, 0.5014], [0.5000, 0.5000, 0.7462], [0.5000, 0.5000, 0.2547], [0.0000, 0.0000, 0.9976]],
  "final_energy_ev_per_cell": -26.94,
  "formation_energy_kj_per_mol_fu": -75,
  "magmom_total_mub_per_fu": 0.0,
  "spacegroup": "P4mm"
}

Record 2
{
  "formula": "SnPtF2",
  "functional": "GGA-PBE",
  "state": "optimized geometry",
  "cell": [[0.0000, 3.1061, 3.1061], [3.1061, 0.0000, 3.1061], [3.1061, 3.1061, 0.0000]],
  "species": ["F", "Pt", "F", "Sn"],
  "fractional_positions": [[0.2500, 0.2500, 0.2500], [0.5000, 0.5000, 0.5000], [0.7500, 0.7500, 0.7500], [0.0000, 0.0000, 0.0000]],
  "final_energy_ev_per_cell": -16.46,
  "e_form_raw_ev_per_atom": -0.67,
  "magmom_total_mub_per_fu": 0.0,
  "polymorph_energy_kcal_per_mol_atoms": 8.212,
  "spacegroup": "Fm-3m"
}

Record 3
{
  "formula": "KAl2CuCl8",
  "functional": "GGA-PBE",
  "state": "optimized geometry",
  "cell": [[-5.4803, -3.0793, -0.6473], [-0.2496, -6.2414, 0.9577], [-3.7965, -1.6466, 9.1286]],
  "species": ["K", "Cl", "Al", "Al", "Cl", "Cl", "Cl", "Cl", "Cu", "Cl", "Cl", "Cl"],
  "fractional_positions": [[0.5000, 0.5000, 0.5000], [0.1785, 0.1785, 0.4646], [0.2557, 0.2557, 0.2329], [0.7443, 0.7443, 0.7671], [0.3896, 0.7312, 0.8351], [0.9559, 0.6104, 0.1649], [0.6104, 0.2688, 0.1649], [0.7312, 0.0441, 0.8351], [0.0000, 0.0000, 0.0000], [0.8215, 0.8215, 0.5354], [0.0441, 0.3896, 0.8351], [0.2688, 0.9559, 0.1649]],
  "final_energy_ev_per_cell": -44.38,
  "e_form_raw_ev_per_atom": -1.41,
  "magmom_total_mub_per_fu": 0.1,
  "spacegroup": "R-3"
}

Record 4
{
  "formula": "Al3C",
  "functional": "GGA-PBE",
  "state": "optimized geometry",
  "cell": [[-0.3179, 5.2730, -4.6500], [-1.4461, -6.3035, -2.7753], [-2.5791, 0.3429, 0.5651]],
  "species": ["Al", "C", "Al", "Al", "C", "Al", "Al", "Al"],
  "fractional_positions": [[0.4734, 0.1555, 0.2500], [0.5305, 0.4695, 0.2500], [0.8445, 0.5266, 0.2500], [0.1555, 0.4734, 0.7500], [0.4695, 0.5305, 0.7500], [0.5266, 0.8445, 0.7500], [0.8919, 0.1081, 0.2500], [0.1081, 0.8919, 0.7500]],
  "final_energy_ev_per_cell": -38.23,
  "formation_energy_kj_per_mol_fu": 129,
  "magmom_total_mub_per_fu": 0.0,
  "polymorph_energy_kcal_per_mol_atoms": 7.111,
  "spacegroup": "Cmcm"
}

Record 5
{
  "formula": "Ce4Te3Os",
  "functional": "GGA-PBE",
  "state": "optimized geometry",
  "cell": [[7.4643, 0.0065, 0.0000], [-2.6122, 7.3594, 0.0000], [0.0000, 0.0000, 8.8434]],
  "species": ["Te", "Ce", "Te", "Ce", "Te", "Ce", "Te", "Te", "Te", "Ce", "Os", "Ce", "Ce", "Os", "Ce", "Ce"],
  "fractional_positions": [[0.2500, 0.0000, 0.6204], [0.9718, 0.2262, 0.6554], [0.7500, 0.0000, 0.3796], [0.0282, 0.7738, 0.3446], [0.2500, 0.5000, 0.3822], [0.5021, 0.2114, 0.8925], [0.7500, 0.5000, 0.6178], [0.2500, 0.5000, 0.8775], [0.7500, 0.5000, 0.1225], [0.4979, 0.7886, 0.1075], [0.7500, 0.0000, 0.8784], [0.5282, 0.7738, 0.6554], [0.0021, 0.2114, 0.1075], [0.2500, 0.0000, 0.1216], [0.4718, 0.2262, 0.3446], [0.9979, 0.7886, 0.8925]],
  "final_energy_ev_per_cell": -105.38,
  "e_form_raw_ev_per_atom": -1.04,
  "magmom_total_mub_per_fu": 4.0,
  "spacegroup": "P2/c"
}

Record 6
{
  "formula": "LaFeAs",
  "functional": "GGA-PBE",
  "state": "optimized geometry",
  "cell": [[-4.1384, 2.5094, 0.7149], [-4.3215, -2.2745, -0.2926], [-2.6481, -0.7505, 4.0446]],
  "species": ["La", "As", "Fe"],
  "fractional_positions": [[0.7500, 0.7500, 0.7500], [0.0000, 0.0000, 0.0000], [0.5000, 0.5000, 0.5000]],
  "final_energy_ev_per_cell": -17.06,
  "formation_energy_kj_per_mol_fu": 94,
  "magmom_total_mub_per_fu": 3.2,
  "spacegroup": "F-43m"
}

Record 7
{
  "formula": "PW4Se",
  "functional": "GGA-PBE",
  "state": "optimized geometry",
  "cell": [[0.0000, 3.7605, 3.7605], [3.7605, 0.0000, 3.7605], [3.7605, 3.7605, 0.0000]],
  "species": ["W", "P", "Se", "W", "W", "W"],
  "fractional_positions": [[0.3746, 0.3746, 0.8761], [0.7500, 0.7500, 0.7500], [0.0000, 0.0000, 0.0000], [0.3746, 0.8761, 0.3746], [0.3746, 0.3746, 0.3746], [0.8761, 0.3746, 0.3746]],
  "final_energy_ev_per_cell": -54.36,
  "e_form_raw_ev_per_atom": 1.06,
  "magmom_total_mub_per_fu": 0.0,
  "spacegroup": "F-43m"
}

Record 8
{
  "formula": "Tm3Ni7Ge4",
  "functional": "GGA-PBE",
  "state": "optimized geometry",
  "cell": [[3.8705, 0.0000, 0.9764], [1.4050, 7.1658, 2.5900], [0.1102, 0.1855, 7.7225]],
  "species": ["Tm", "Ni", "Ni", "Ni", "Tm", "Ge", "Ni", "Ge", "Ni", "Ni", "Ni", "Ge", "Ge", "Tm"],
  "fractional_positions": [[0.3201, 0.1876, 0.1723], [0.6855, 0.1693, 0.4597], [0.0000, 0.0000, 0.0000], [0.8693, 0.3595, 0.9020], [0.0000, 0.5000, 0.5000], [0.8803, 0.8984, 0.3411], [0.5004, 0.2166, 0.7825], [0.6686, 0.4648, 0.1980], [0.1307, 0.6405, 0.0980], [0.4996, 0.7834, 0.2175], [0.3145, 0.8307, 0.5403], [0.1197, 0.1016, 0.6589], [0.3314, 0.5352, 0.8020], [0.6799, 0.8124, 0.8277]],
  "final_energy_ev_per_cell": -81.08,
  "formation_energy_kj_per_mol_fu": -842,
  "magmom_total_mub_per_fu": 0.0,
  "spacegroup": "C2/m"
}

Calculated density readings, ordered: 6187 9746 2264 2556 7747 5408 13197 9472 kg/m³